P.
A relaxed structure of Sr2TbEu. Source: Alexandria via LeMat-Bulk, functional PBE.

Cell and atoms, written as POSCAR:
```
Sr2TbEu
1.0
4.291 0.000 0.000
0.000 4.291 0.000
0.000 0.000 9.589
Sr Tb Eu
2 1 1
direct
0.000 0.000 0.231
0.000 0.000 0.769
0.500 0.500 0.000
0.500 0.500 0.500
```

Calculated values
* symmetry: P4/mmm

=====

Q.
A relaxed structure of Sr2TbEu. Source: Alexandria via LeMat-Bulk, functional PBE.

Cell and atoms, written as POSCAR:
```
Sr2TbEu
1.0
0.000 4.431 4.431
4.431 0.000 4.431
4.431 4.431 0.000
Sr Tb Eu
2 1 1
direct
0.250 0.250 0.250
0.750 0.750 0.750
0.000 0.000 0.000
0.500 0.500 0.500
```

Calculated values
* symmetry: Fm-3m

=====

R.
A relaxed structure of Sr2TbEu. Source: Alexandria via LeMat-Bulk, functional PBE.

Cell and atoms, written as POSCAR:
```
Sr2TbEu
1.0
1.919 1.108 13.920
-1.919 1.108 13.920
0.000 -2.216 13.920
Sr Tb Eu
2 1 1
direct
0.085 0.085 0.085
0.915 0.915 0.915
0.000 0.000 0.000
0.500 0.500 0.500
```

Calculated values
* symmetry: R-3m

=====

P comes first in stability; the runner-up is 2.3 kJ/mol of atoms higher.

=====

P.
A relaxed structure of Sr2EuTe. Source: Alexandria via LeMat-Bulk, functional PBE.

Cell and atoms, written as POSCAR:
```
Sr2EuTe
1.0
4.087 0.000 0.000
0.000 4.087 0.000
0.000 0.000 10.268
Sr Eu Te
2 1 1
direct
0.000 0.000 0.189
0.000 0.000 0.811
0.500 0.500 0.500
0.500 0.500 0.000
```

Calculated values
* symmetry: P4/mmm

=====

Q.
A relaxed structure of Sr2EuTe. Source: Alexandria via LeMat-Bulk, functional PBE.

Cell and atoms, written as POSCAR:
```
Sr2EuTe
1.0
2.175 1.256 11.846
-2.175 1.256 11.846
0.000 -2.511 11.846
Sr Eu Te
2 1 1
direct
0.107 0.107 0.107
0.893 0.893 0.893
0.000 0.000 0.000
0.500 0.500 0.500
```

Calculated values
* symmetry: R-3m

=====

P comes first in stability; the runner-up is 10.7 kJ/mol of atoms higher.